Here is crystalline Ac6TlN2 at its relaxed geometry from the Alexandria database. Energies are from PBE-GGA.

```
9
Lattice="-2.4268 3.4715 4.0056 -3.9089 -9.8431 1.9202 6.9992 3.6602 1.0682" Properties=species:S:1:pos:R:3 pbc="T T T"
Ac 1.0778 -0.9879 5.7513
Ac -2.7532 -1.8627 4.1886
Ac 3.4168 -0.8486 2.8055
Ac 0.8707 2.1097 2.9414
Ac -0.2071 -4.8210 4.0527
Ac -0.4142 -1.7235 1.2428
Tl 3.4996 1.8301 0.5341
N 2.0287 0.9113 4.6815
N -1.3651 -3.6227 2.3126
```

## Properties
- raw formation energy (eV per formula unit) = -4.89